<w>
Computed, not measured: crystalline ZnSe2BrO at its relaxed geometry at the GGA-PBE level of DFT.

Cell: 4.9258 4.9258 4.9160 Å, 90.00 90.00 90.00°
With the nearest neighbours (Å) after each atom.
Space group P4/mmm (No. 123)
Symmetry-distinct sites (fractional):
Zn 0.0000 0.0000 0.0000 x1  2 Br 2.46, 4 Se 2.46
Se 0.0000 0.5000 0.0000 x2  2 Zn 2.46
Br 0.0000 0.0000 0.5000 x1  2 Zn 2.46
O 0.5000 0.5000 0.5000 x1  8 Se 3.48, 4 Br 3.48

Values from the calculation:
Density ... 4.4 Mg/m³
Total magnetization ... 0.00 μB per formula unit

=====

<x>
Computed, not measured: crystalline ZnSe2BrO at its relaxed geometry at the GGA-PBE level of DFT.

Cell: 4.4694 4.4694 4.8336 Å, 90.00 90.00 90.00°
With the nearest neighbours (Å) after each atom.
Space group P4/mmm (No. 123)
Symmetry-distinct sites (fractional):
Zn 0.0000 0.0000 0.0000 x1  4 Br 3.16, 8 Se 3.29
Se 0.0000 0.5000 0.5000 x2  2 O 2.23
Br 0.5000 0.5000 0.0000 x1  2 O 2.42
O 0.5000 0.5000 0.5000 x1  4 Se 2.23, 2 Br 2.42

Values from the calculation:
Density ... 5.5 Mg/m³
Total magnetization ... 0.00 μB per formula unit

=====

Most stable one: <x>, least stable one: <w>.